1.
The following is a DFT calculation (GGA-PBE) of a relaxed structure of CrFe4Ir.

Calculated values
* crystal system: cubic

Unit cell a=6.6209 b=6.6209 c=6.6209 alpha=90.00 beta=90.00 gamma=90.00
Space group F-43m (No. 216)
Inequivalent atoms, fractional coordinates:
Cr (0.0000, 0.0000, 0.0000) [4 per cell]
Fe (0.1248, 0.1248, 0.3752) [16 per cell]
Ir (0.2500, 0.2500, 0.7500) [4 per cell]

***

2.
The following is a DFT calculation (GGA-PBE) of a relaxed structure of CrFe4Ir.

Calculated values
* crystal system: monoclinic

Unit cell a=9.2385 b=2.9071 c=5.7432 alpha=90.00 beta=108.07 gamma=90.00
Space group C2/m (No. 12)
Inequivalent atoms, fractional coordinates:
Cr (0.0000, 0.0000, 0.0000) [2 per cell]
Fe (0.1707, 0.5000, 0.8442) [4 per cell]
Fe (0.1734, 0.5000, 0.3282) [4 per cell]
Ir (0.0000, 0.0000, 0.5000) [2 per cell]

***

The winner here is 1, beating the second structure by 27 meV per atom.

***

1.
The following is a DFT calculation (GGA-PBE) of a relaxed structure of CrFeIr.

Calculated values
* crystal system: trigonal

Unit cell a=3.8409 b=3.8409 c=18.9610 alpha=90.00 beta=90.00 gamma=120.00
Space group R-3m (No. 166, hexagonal axes)
Inequivalent atoms, fractional coordinates:
Cr (0.0000, 0.0000, 0.0687) [6 per cell]
Fe (0.0000, 0.0000, 0.3378) [6 per cell]
Ir (0.0000, 0.0000, 0.2077) [6 per cell]

***

2.
The following is a DFT calculation (GGA-PBE) of a relaxed structure of CrFeIr.

Calculated values
* crystal system: cubic

Unit cell a=5.5558 b=5.5558 c=5.5558 alpha=90.00 beta=90.00 gamma=90.00
Space group F-43m (No. 216)
Inequivalent atoms, fractional coordinates:
Cr (0.0000, 0.0000, 0.0000) [4 per cell]
Fe (0.2500, 0.2500, 0.2500) [4 per cell]
Ir (0.2500, 0.2500, 0.7500) [4 per cell]

***

The winner here is 1, beating the second structure by 70 meV per atom.